Record 1
Material: Pm3SmPb4
Method: DFT, PBE
State: relaxed

Its energy above the most stable polymorph in this dataset is 0.0 meV/atom. As for the space-group type: No. 12.

a = 9.7721 Å, b = 9.7721 Å, c = 5.1073 Å
α = 104.99°, β = 104.99°, γ = 30.30°
Fractional coordinates of all 8 atoms:
1 Pm 0.0000 0.0000 0.0000
2 Pm 0.2500 0.2500 0.2500
3 Pm 0.7500 0.7500 0.7500
4 Sm 0.5000 0.5000 0.5000
5 Pb 0.1247 0.1247 0.6247
6 Pb 0.3753 0.3753 0.8752
7 Pb 0.6247 0.6247 0.1248
8 Pb 0.8753 0.8753 0.3753

Record 2
Material: PmSm2Pb4
Method: DFT, PBE
State: relaxed

The electronic total energy is -4.54 eV/atom. As for the space-group type: No. 12.

a = 9.9283 Å, b = 9.9283 Å, c = 4.9018 Å
α = 104.25°, β = 104.25°, γ = 28.58°
Fractional coordinates of all 7 atoms:
1 Pm 0.0000 0.0000 0.0000
2 Sm 0.2434 0.2434 0.2432
3 Sm 0.7566 0.7566 0.7568
4 Pb 0.1215 0.1215 0.6214
5 Pb 0.3785 0.3785 0.8771
6 Pb 0.6215 0.6215 0.1229
7 Pb 0.8785 0.8785 0.3786

Record 3
Material: Pm2Sm8Pb
Method: DFT, PBE
State: relaxed

The electronic total energy is -4.71 eV/atom. As for the space-group type: No. 12.

a = 9.5574 Å, b = 9.5574 Å, c = 8.0848 Å
α = 104.70°, β = 104.70°, γ = 30.47°
Fractional coordinates of all 11 atoms:
1 Pm 0.2229 0.2229 0.1340
2 Pm 0.7771 0.7771 0.8660
3 Sm 0.0438 0.0438 0.2271
4 Sm 0.1365 0.1365 0.6788
5 Sm 0.3205 0.3205 0.5926
6 Sm 0.4104 0.4104 0.0585
7 Sm 0.5896 0.5896 0.9415
8 Sm 0.6795 0.6795 0.4074
9 Sm 0.8635 0.8635 0.3212
10 Sm 0.9562 0.9562 0.7729
11 Pb 0.5000 0.5000 0.5000

Record 4
Material: Pm3Sm2Pb
Method: DFT, PBE
State: relaxed

The electronic total energy is -4.76 eV/atom. As for the space-group type: No. 65.

a = 8.1542 Å, b = 8.1542 Å, c = 4.9934 Å
α = 90.00°, β = 90.00°, γ = 144.60°
Fractional coordinates of all 6 atoms:
1 Pm 0.0000 0.0000 0.0000
2 Pm 0.3343 0.6657 0.0000
3 Pm 0.6657 0.3343 0.0000
4 Sm 0.1624 0.8376 0.5000
5 Sm 0.8376 0.1624 0.5000
6 Pb 0.5000 0.5000 0.5000

Record 5
Material: Pm6SmPb
Method: DFT, PBE
State: relaxed

The electronic total energy is -4.76 eV/atom. As for the space-group type: No. 123.

a = 5.0050 Å, b = 5.0050 Å, c = 10.3937 Å
α = 90.00°, β = 90.00°, γ = 90.00°
Fractional coordinates of all 8 atoms:
1 Pm 0.0000 0.0000 0.0000
2 Pm 0.0000 0.0000 0.5000
3 Pm 0.0000 0.5000 0.2434
4 Pm 0.0000 0.5000 0.7566
5 Pm 0.5000 0.0000 0.2434
6 Pm 0.5000 0.0000 0.7566
7 Sm 0.5000 0.5000 0.5000
8 Pb 0.5000 0.5000 0.0000

Record 6
Material: Pm3Sm2Pb6
Method: DFT, PBE
State: relaxed

The electronic total energy is -4.28 eV/atom. As for the space-group type: No. 139.

a = 11.9957 Å, b = 11.9957 Å, c = 11.9957 Å
α = 151.06°, β = 151.06°, γ = 41.38°
Fractional coordinates of all 11 atoms:
1 Pm 0.0000 0.0000 0.0000
2 Pm 0.1496 0.1496 0.0000
3 Pm 0.8504 0.8504 0.0000
4 Sm 0.4246 0.4246 0.0000
5 Sm 0.5754 0.5754 0.0000
6 Pb 0.0762 0.5762 0.5000
7 Pb 0.2895 0.2895 0.0000
8 Pb 0.4238 0.9238 0.5000
9 Pb 0.5762 0.0762 0.5000
10 Pb 0.7105 0.7105 0.0000
11 Pb 0.9238 0.4238 0.5000

Record 7
Material: Tb6Pm3Sm2Pb
Method: DFT, PBE
State: relaxed

The electronic total energy is -4.66 eV/atom. As for the space-group type: No. 12.

a = 6.1742 Å, b = 6.1742 Å, c = 11.8148 Å
α = 95.05°, β = 95.05°, γ = 120.04°
Fractional coordinates of all 12 atoms:
1 Tb 0.0816 0.4080 0.7466
2 Tb 0.2445 0.2445 0.2518
3 Tb 0.4080 0.0816 0.7466
4 Tb 0.5920 0.9184 0.2534
5 Tb 0.7555 0.7555 0.7482
6 Tb 0.9184 0.5920 0.2534
7 Pm 0.1682 0.8318 0.0000
8 Pm 0.5000 0.5000 0.0000
9 Pm 0.8318 0.1682 0.0000
10 Sm 0.3341 0.6659 0.5000
11 Sm 0.6659 0.3341 0.5000
12 Pb 0.0000 0.0000 0.5000

Record 8
Material: Tb3Pm2Sm6Pb
Method: DFT, PBE
State: relaxed

The electronic total energy is -4.68 eV/atom. As for the space-group type: No. 12.

a = 6.1921 Å, b = 6.1921 Å, c = 11.9130 Å
α = 95.00°, β = 95.00°, γ = 120.08°
Fractional coordinates of all 12 atoms:
1 Tb 0.0000 0.0000 0.0000
2 Tb 0.3318 0.6682 0.0000
3 Tb 0.6682 0.3318 0.0000
4 Pm 0.1660 0.8340 0.5000
5 Pm 0.8340 0.1660 0.5000
6 Sm 0.0911 0.4168 0.2501
7 Sm 0.2578 0.2578 0.7516
8 Sm 0.4168 0.0911 0.2501
9 Sm 0.5832 0.9089 0.7499
10 Sm 0.7422 0.7422 0.2484
11 Sm 0.9089 0.5832 0.7499
12 Pb 0.5000 0.5000 0.5000

Record 9
Material: Tb6Pm2Sm3Pb
Method: DFT, PBE
State: relaxed

The electronic total energy is -4.66 eV/atom. As for the space-group type: No. 12.

a = 6.1656 Å, b = 6.1656 Å, c = 11.8230 Å
α = 95.03°, β = 95.03°, γ = 120.03°
Fractional coordinates of all 12 atoms:
1 Tb 0.0821 0.4084 0.7476
2 Tb 0.2439 0.2439 0.2508
3 Tb 0.4084 0.0821 0.7476
4 Tb 0.5916 0.9179 0.2524
5 Tb 0.7561 0.7561 0.7492
6 Tb 0.9179 0.5916 0.2524
7 Pm 0.3340 0.6660 0.5000
8 Pm 0.6660 0.3340 0.5000
9 Sm 0.1681 0.8319 0.0000
10 Sm 0.5000 0.5000 0.0000
11 Sm 0.8319 0.1681 0.0000
12 Pb 0.0000 0.0000 0.5000

Record 10
Material: Tb2Pm3Sm6Pb
Method: DFT, PBE
State: relaxed

The electronic total energy is -4.68 eV/atom. As for the space-group type: No. 12.

a = 6.2304 Å, b = 6.2304 Å, c = 11.8688 Å
α = 95.09°, β = 95.09°, γ = 120.13°
Fractional coordinates of all 12 atoms:
1 Tb 0.1653 0.8347 0.0000
2 Tb 0.8347 0.1653 0.0000
3 Pm 0.0000 0.0000 0.5000
4 Pm 0.3309 0.6691 0.5000
5 Pm 0.6691 0.3309 0.5000
6 Sm 0.0928 0.4188 0.7549
7 Sm 0.2552 0.2552 0.2477
8 Sm 0.4188 0.0928 0.7549
9 Sm 0.5812 0.9072 0.2451
10 Sm 0.7448 0.7448 0.7523
11 Sm 0.9072 0.5812 0.2451
12 Pb 0.5000 0.5000 0.0000

Record 11
Material: Tb2Pm6Sm3Pb
Method: DFT, PBE
State: relaxed

The electronic total energy is -4.68 eV/atom. As for the space-group type: No. 12.

a = 6.2387 Å, b = 6.2387 Å, c = 11.9008 Å
α = 95.07°, β = 95.07°, γ = 120.13°
Fractional coordinates of all 12 atoms:
1 Tb 0.1655 0.8345 0.0000
2 Tb 0.8345 0.1655 0.0000
3 Pm 0.0922 0.4181 0.7540
4 Pm 0.2561 0.2561 0.2483
5 Pm 0.4181 0.0922 0.7540
6 Pm 0.5819 0.9078 0.2460
7 Pm 0.7439 0.7439 0.7517
8 Pm 0.9078 0.5819 0.2460
9 Sm 0.0000 0.0000 0.5000
10 Sm 0.3309 0.6691 0.5000
11 Sm 0.6691 0.3309 0.5000
12 Pb 0.5000 0.5000 0.0000

Record 12
Material: TbPmSmPb
Method: DFT, PBE
State: relaxed

The electronic total energy is -4.59 eV/atom. As for the space-group type: No. 216.

a = 5.5597 Å, b = 5.5597 Å, c = 5.5597 Å
α = 60.00°, β = 60.00°, γ = 60.00°
Fractional coordinates of all 4 atoms:
1 Tb 0.0000 0.0000 0.0000
2 Pm 0.7500 0.7500 0.7500
3 Sm 0.2500 0.2500 0.2500
4 Pb 0.5000 0.5000 0.5000

These records have ρ values of 9.91, 9.47, 7.81, 8.14, 7.83, 8.15, 8.21, 8.00, 8.24, 7.89, 7.77, 9.04 Mg/m³, in the order they appear.
These records have DOS at the Fermi energy values of 1.026, 0.753, 1.336, 1.123, 1.092, 0.748, 1.193, 1.111, 1.151, 1.246, 1.205, 1.983 states/eV per atom, in the order they appear.